1.
Crystalline Ag2SIBr at its relaxed geometry. Source: Alexandria, functional GGA-PBE.

Cell lengths 5.531, 5.104, 5.531 Å; angles 90.00, 90.00, 90.00 degrees
Site moments in Bohr magnetons follow the coordinates.
Positions (direct):
I (0.000, 0.000, 0.000)  0.01
S (0.000, 0.500, 0.000)  0.14
Br (0.500, 0.500, 0.500)  0.01
Ag (0.000, 0.000, 0.500)  0.00
Ag (0.500, 0.000, 0.000)  0.01

Calculated values
Theoretical density, g/cm3: 4.83
Formation energy from raw total energies, eV per atom: 0.524
Volume, Å³/atom: 31.227

=====

2.
Crystalline PrNdP2 at its relaxed geometry. Source: Alexandria, functional GGA-PBE.

Cell lengths 5.917, 5.917, 7.252 Å; angles 114.08, 114.08, 90.00 degrees
Positions (direct):
Pr (0.750, 0.250, 0.500)
Pr (0.000, 0.000, 0.000)
Nd (0.500, 0.500, 0.000)
Nd (0.250, 0.750, 0.500)
P (0.749, 0.749, 0.498)
P (0.499, 0.999, 0.998)
P (0.251, 0.251, 0.502)
P (0.001, 0.501, 0.002)

Calculated values
Theoretical density, g/cm3: 5.56
Polymorph energy (0 for the lowest one), meV/atom: 0
Formation energy from the elements, eV per atom: -1.53
Volume, Å³/atom: 25.921

=====

3.
Crystalline CaTlCd2 at its relaxed geometry. Source: Alexandria, functional GGA-PBE.

Cell lengths 5.193, 3.537, 5.964 Å; angles 90.00, 90.00, 90.00 degrees
Positions (direct):
Tl (0.500, 0.250, 0.250)
Ca (0.500, 0.750, 0.750)
Cd (0.000, 0.248, 0.991)
Cd (0.000, 0.252, 0.509)

Calculated values
Theoretical density, g/cm3: 7.11
Polymorph energy (0 for the lowest one), meV/atom: 50
Formation energy from the elements, eV per atom: -0.19
Volume, Å³/atom: 27.381

=====

4.
Crystalline Ga2NiPd2 at its relaxed geometry. Source: Alexandria, functional GGA-PBE.

Cell lengths 6.569, 6.569, 3.442 Å; angles 90.00, 90.00, 90.00 degrees
Positions (direct):
Ni (0.000, 0.000, 0.000)
Ni (0.500, 0.500, 0.000)
Ga (0.354, 0.854, 0.000)
Ga (0.854, 0.646, 0.000)
Ga (0.646, 0.146, 0.000)
Ga (0.146, 0.354, 0.000)
Pd (0.159, 0.659, 0.500)
Pd (0.659, 0.841, 0.500)
Pd (0.841, 0.341, 0.500)
Pd (0.341, 0.159, 0.500)

Calculated values
Theoretical density, g/cm3: 9.19
Polymorph energy (0 for the lowest one), meV/atom: 0
Formation energy from the elements, eV per atom: -0.35
Volume, Å³/atom: 14.853

=====

5.
Crystalline MnNiSeBr2 at its relaxed geometry. Source: Alexandria, functional GGA-PBE.

Cell lengths 4.781, 4.781, 5.007 Å; angles 90.00, 90.00, 90.00 degrees
Site moments in Bohr magnetons follow the coordinates.
Positions (direct):
Ni (0.000, 0.000, 0.000)  -0.05
Mn (0.500, 0.500, 0.500)  4.52
Se (0.000, 0.000, 0.500)  -0.01
Br (0.000, 0.500, 0.000)  0.04
Br (0.500, 0.000, 0.000)  0.04

Calculated values
Theoretical density, g/cm3: 5.11
Formation energy from raw total energies, eV per atom: 0.207
Polymorph energy (0 for the lowest one), meV/atom: 0
Volume, Å³/atom: 22.890

=====

6.
Crystalline Rb2CrSnSe4 at its relaxed geometry. Source: Alexandria, functional GGA-PBE.

Cell lengths 8.581, 8.581, 8.315 Å; angles 118.98, 118.98, 89.68 degrees
Site moments in Bohr magnetons follow the coordinates.
Positions (direct):
Rb (0.500, 0.000, 0.000)  -0.01
Rb (0.500, 0.000, 0.500)  -0.01
Rb (0.000, 0.000, 0.500)  -0.01
Rb (0.500, 0.500, 0.000)  -0.01
Cr (0.000, 0.500, 0.000)  2.86
Cr (0.000, 0.500, 0.500)  2.86
Sn (0.500, 0.500, 0.500)  -0.10
Sn (0.000, 0.000, 0.000)  -0.10
Se (0.178, 0.701, 0.939)  -0.16
Se (0.799, 0.322, 0.561)  -0.16
Se (0.201, 0.678, 0.439)  -0.16
Se (0.822, 0.299, 0.061)  -0.16
Se (0.786, 0.714, 0.977)  -0.13
Se (0.786, 0.714, 0.523)  -0.13
Se (0.214, 0.286, 0.477)  -0.13
Se (0.214, 0.286, 0.023)  -0.13

Calculated values
Theoretical density, g/cm3: 4.88
Formation energy from raw total energies, eV per atom: -0.670
Volume, Å³/atom: 27.937

=====

> The highest theoretical density belongs to which entry?

Ga2NiPd2